A plane-wave DFT calculation with PBE was carried out for an optimized crystal structure of PuCd8Hg6.

As for the energy of formation: 0.0477 eV/atom. As for the calculated volume: 402.27 Å³/f.u. The value obtained for the raw total energy is -1.52 eV per atom.

It has space group R-3 (No. 148, hexagonal axes), with a = 8.5653 Å, b = 8.5653 Å, c = 18.9943 Å, α = 90.00°, β = 90.00° and γ = 120.00°. The distinct sites, in fractional coordinates, are Pu at (0.0000, 0.0000, 0.0000), Cd at (0.0000, 0.0000, 0.3487), Cd at (0.0219, 0.3777, 0.2244) and Hg at (0.0183, 0.3046, 0.7368).